6
Lattice="4.4734 0.0000 0.0000 0.0000 4.4734 0.0000 0.0000 0.0000 6.2821" Properties=species:S:1:pos:R:3 comment="Sc4NiRu | the Alexandria database | PBE | optimized geometry" total_energy_ev_per_atom=-7.000 density_g_cm3=4.486 delta_e_f_mev_per_atom=-269 magnetic_moment_mub_per_cell=0.0 crystal_system=tetragonal relative_energy_mev_per_atom=121.5 sg="P4/mmm, No. 123" pbc="T T T"
Sc 0.0000 2.2367 1.5634
Sc 0.0000 2.2367 4.7188
Sc 2.2367 0.0000 1.5634
Sc 2.2367 0.0000 4.7188
Ni 0.0000 0.0000 0.0000
Ru 2.2367 2.2367 3.1411